TbCeSmPu | Alexandria via LeMat-Bulk | PBE-GGA | relaxed; total magnetization = 8.3 μB per formula unit; DOS at the Fermi energy = 16.36 states/eV per cell; E_tot = -28.496 eV/f.u.; SG = F-43m, No. 216
1.0
0.000 3.966 3.966
3.966 0.000 3.966
3.966 3.966 0.000
Tb Ce Sm Pu
1 1 1 1
Cartesian
0.000 0.000 0.000
5.949 5.949 5.949
3.966 3.966 3.966
1.983 1.983 1.983